The following is a GGA-PBEsol calculation of a relaxed structure of Al2NiRuAu, from Alexandria via LeMat-Bulk.

Values from the calculation:
V: 18.87 Å³/atom
density of states at the Fermi level: 1.092 states/eV/atom
formation energy from the elements: 1.090 eV/atom
space group: P4/mmm (123)
E: -22.98 eV per cell

Unit cell a=4.5609 b=4.5609 c=4.5364 alpha=90.00 beta=90.00 gamma=90.00
Element x y z (fractional)
Ni 0.0000 0.0000 0.5000
Ru 0.5000 0.5000 0.5000
Al 0.0000 0.5000 0.0000
Al 0.5000 0.0000 0.0000
Au 0.0000 0.0000 0.0000